No. 1
Here is an optimized crystal structure of K7Rb12Sr from Alexandria. Energies are from PBE-GGA.

Cell: 11.9486 11.9486 11.9486 Å, 90.40 90.40 90.40°
Atoms (fractional coordinates):
Rb1 0.6114 0.1518 0.4943
Rb2 0.8482 0.5057 0.3886
Rb3 0.1518 0.4943 0.6114
Rb4 0.1244 0.7386 0.2543
Rb5 0.2614 0.7457 0.8756
Rb6 0.5057 0.3886 0.8482
Rb7 0.7386 0.2543 0.1244
Rb8 0.7457 0.8756 0.2614
Rb9 0.4943 0.6114 0.1518
Rb10 0.8756 0.2614 0.7457
Rb11 0.3886 0.8482 0.5057
Rb12 0.2543 0.1244 0.7386
Sr1 0.0000 0.0000 0.0000
K1 0.5000 0.5000 0.5000
K2 0.8608 0.6288 0.9397
K3 0.9397 0.8608 0.6288
K4 0.6288 0.9397 0.8608
K5 0.1392 0.3712 0.0603
K6 0.0603 0.1392 0.3712
K7 0.3712 0.0603 0.1392

magnetization: 0.00 μB/f.u.
crystal system: trigonal
space group: R-3
ΔE_f: 0.059 eV/atom

No. 2
Here is an optimized crystal structure of K12Rb6Sr from Alexandria. Energies are from PBE-GGA.

Cell: 11.4821 11.4821 11.4821 Å, 91.90 91.90 91.90°
Atoms (fractional coordinates):
Rb1 0.2773 0.7415 0.1180
Rb2 0.7227 0.2585 0.8820
Rb3 0.1180 0.2773 0.7415
Rb4 0.7415 0.1180 0.2773
Rb5 0.2585 0.8820 0.7227
Rb6 0.8820 0.7227 0.2585
K1 0.5407 0.4706 0.2069
K2 0.7931 0.4593 0.5294
K3 0.4706 0.2069 0.5407
K4 0.2069 0.5407 0.4706
K5 0.9450 0.6303 0.8541
K6 0.1459 0.0550 0.3697
K7 0.4593 0.5294 0.7931
K8 0.6303 0.8541 0.9450
K9 0.0550 0.3697 0.1459
K10 0.3697 0.1459 0.0550
K11 0.8541 0.9450 0.6303
K12 0.5294 0.7931 0.4593
Sr1 0.0000 0.0000 0.0000

magnetization: 0.00 μB/f.u.
crystal system: trigonal
space group: R-3
ΔE_f: 0.048 eV/atom

Which of these has the highest ΔE_f?
K7Rb12Sr

What did the second record say?
Here is an optimized crystal structure of K12Rb6Sr from Alexandria. Energies are from PBE-GGA.

Cell: 11.4821 11.4821 11.4821 Å, 91.90 91.90 91.90°
Atoms (fractional coordinates):
Rb1 0.2773 0.7415 0.1180
Rb2 0.7227 0.2585 0.8820
Rb3 0.1180 0.2773 0.7415
Rb4 0.7415 0.1180 0.2773
Rb5 0.2585 0.8820 0.7227
Rb6 0.8820 0.7227 0.2585
K1 0.5407 0.4706 0.2069
K2 0.7931 0.4593 0.5294
K3 0.4706 0.2069 0.5407
K4 0.2069 0.5407 0.4706
K5 0.9450 0.6303 0.8541
K6 0.1459 0.0550 0.3697
K7 0.4593 0.5294 0.7931
K8 0.6303 0.8541 0.9450
K9 0.0550 0.3697 0.1459
K10 0.3697 0.1459 0.0550
K11 0.8541 0.9450 0.6303
K12 0.5294 0.7931 0.4593
Sr1 0.0000 0.0000 0.0000

magnetization: 0.00 μB/f.u.
crystal system: trigonal
space group: R-3
ΔE_f: 0.048 eV/atom

Among the records above, which one has the highest ΔE_f?
K7Rb12Sr